Entry 1:
A plane-wave DFT calculation with GGA-PBE was carried out for a geometry-optimized ZrCoNi6 structure.

Unit cell a=5.170 b=5.170 c=4.149 alpha=90.00 beta=90.00 gamma=120.00
Element x y z (fractional)
Co 0.000 0.000 0.000
Ni 0.021 0.511 0.000
Ni 0.489 0.511 0.000
Ni 0.489 0.979 0.000
Ni 0.164 0.329 0.500
Ni 0.671 0.836 0.500
Ni 0.164 0.836 0.500
Zr 0.667 0.333 0.500

Output
- Volume: 12.0 Å³ per atom
- Formation energy: -145 meV/atom
- Space group: No. 187

---

Entry 2:
A plane-wave DFT calculation with GGA-PBE was carried out for a geometry-optimized ZrCoNi structure.

Unit cell a=6.425 b=3.674 c=7.410 alpha=90.00 beta=90.00 gamma=90.00
Element x y z (fractional)
Co 0.634 0.250 0.065
Co 0.134 0.250 0.435
Co 0.866 0.750 0.565
Co 0.366 0.750 0.935
Ni 0.260 0.250 0.118
Ni 0.760 0.250 0.382
Ni 0.240 0.750 0.618
Ni 0.740 0.750 0.882
Zr 0.967 0.750 0.187
Zr 0.467 0.750 0.313
Zr 0.533 0.250 0.687
Zr 0.033 0.250 0.813

Output
- Volume: 14.6 Å³ per atom
- Formation energy: -255 meV/atom
- Space group: No. 62

---

Entry 3:
A plane-wave DFT calculation with GGA-PBE was carried out for a geometry-optimized Zr2CoNi structure.

Unit cell a=5.018 b=6.113 c=6.113 alpha=131.47 beta=90.00 gamma=90.00
Element x y z (fractional)
Co 0.750 0.982 0.266
Co 0.250 0.266 0.982
Ni 0.750 0.780 0.475
Ni 0.250 0.475 0.780
Zr 0.750 0.223 0.027
Zr 0.250 0.027 0.223
Zr 0.250 0.726 0.520
Zr 0.750 0.520 0.726

Output
- Volume: 17.6 Å³ per atom
- Formation energy: -142 meV/atom
- Space group: No. 40
- ΔE to the lowest computed polymorph: 260 meV per atom

---

Entry 4:
A plane-wave DFT calculation with GGA-PBE was carried out for a geometry-optimized Zr2CoNi structure.

Unit cell a=5.258 b=5.258 c=5.180 alpha=101.48 beta=101.48 gamma=102.26
Element x y z (fractional)
Co 0.502 0.005 0.980
Co 0.005 0.502 0.980
Ni 0.685 0.685 0.642
Ni 0.154 0.154 0.644
Zr 0.532 0.532 0.085
Zr 0.029 0.029 0.092
Zr 0.632 0.150 0.527
Zr 0.150 0.632 0.527

Output
- Volume: 16.6 Å³ per atom
- Formation energy: -403 meV/atom
- Space group: No. 8
- ΔE to the lowest computed polymorph: 0 meV per atom

---

Number 1: DFT total energy -50.22 eV/cell. Number 2: DFT total energy -87.95 eV/cell. Number 3: DFT total energy -60.67 eV/cell. Number 4: DFT total energy -62.76 eV/cell.